A plane-wave DFT calculation with GGA+U was carried out for a relaxed CoBAsO crystal.

abc: 3.6082 3.6082 8.7251
angles: 90.00 90.00 90.00
Closest atoms and distances in Å follow each position.
Fractional coordinates of all 8 atoms:
As  0.7500  0.7500  0.3525  4 B 2.22
As  0.2500  0.2500  0.6474  4 B 2.22
B  0.7500  0.2500  0.5000  4 As 2.22
B  0.2500  0.7500  0.5000  4 As 2.22
Co  0.2500  0.2500  0.0845  4 O 1.95
Co  0.7500  0.7500  0.9155  4 O 1.95
O  0.7500  0.2500  0.0000  4 Co 1.95
O  0.2500  0.7500  0.0000  4 Co 1.95

Computed properties:
* calculated total energy: -42.12 eV/cell
* symmetry: P4/nmm, No. 129

---

A plane-wave DFT calculation with GGA+U was carried out for a relaxed CoBAsO crystal.

abc: 3.1663 3.1663 9.0111
angles: 90.00 90.00 90.00
Closest atoms and distances in Å follow each position.
Fractional coordinates of all 8 atoms:
As  0.0000  0.5000  0.2932  4 Co 2.45
As  0.5000  0.0000  0.7068  4 Co 2.45
B  0.5000  0.0000  0.0682  4 O 1.70
B  0.0000  0.5000  0.9318  4 O 1.70
Co  0.0000  0.0000  0.5000  4 Co 2.24, 4 As 2.45
Co  0.5000  0.5000  0.5000  4 Co 2.24, 4 As 2.45
O  0.0000  0.0000  0.0000  4 B 1.70
O  0.5000  0.5000  0.0000  4 B 1.70

Computed properties:
* calculated total energy: -40.76 eV/cell
* symmetry: P4/nmm, No. 129

---

A plane-wave DFT calculation with GGA+U was carried out for a relaxed CoBAsO crystal.

abc: 2.5660 6.2884 5.6420
angles: 90.00 90.00 90.00
Closest atoms and distances in Å follow each position.
Fractional coordinates of all 8 atoms:
As  0.0000  0.3212  0.3402  2 B 2.14-2.16
As  0.0000  0.6788  0.8402  2 B 2.14-2.16
B  0.0000  0.6470  0.4628  2 O 1.49
B  0.0000  0.3530  0.9628  2 O 1.49
Co  0.5000  0.9568  0.0752  2 O 2.17-2.21
Co  0.5000  0.0432  0.5752  2 O 2.17-2.21
O  0.5000  0.7408  0.3758  2 B 1.49
O  0.5000  0.2592  0.8758  2 B 1.49

Computed properties:
* calculated total energy: -46.59 eV/cell
* symmetry: Pmc2_1, No. 26

---

A plane-wave DFT calculation with GGA+U was carried out for a relaxed CoBAsO crystal.

abc: 3.2665 7.7763 4.3437
angles: 90.00 90.00 90.00
Closest atoms and distances in Å follow each position.
Fractional coordinates of all 8 atoms:
As  0.0000  0.7719  0.4348  2 B 2.22, 3 Co 2.41-2.47
As  0.0000  0.2281  0.9348  2 B 2.22, 3 Co 2.41-2.47
B  0.5000  0.4135  0.0315  2 O 1.39-1.40
B  0.5000  0.5865  0.5315  2 O 1.39-1.40
Co  0.0000  0.0892  0.4382  3 As 2.41-2.47, 2 Co 2.58
Co  0.0000  0.9108  0.9382  3 As 2.41-2.47, 2 Co 2.58
O  0.5000  0.4401  0.3495  2 B 1.39-1.40
O  0.5000  0.5599  0.8495  2 B 1.39-1.40

Computed properties:
* calculated total energy: -47.28 eV/cell
* symmetry: Pmc2_1, No. 26